# 1
{"formula": "SrPr", "functional": "GGA-PBE", "state": "optimized geometry", "lattice": [[3.9219, 0.0000, 0.0000], [-1.9610, 3.3965, 0.0000], [0.0000, 0.0000, 12.3183]], "species": ["Pr", "Sr", "Sr", "Pr"], "fractional_positions": [[0.3333, 0.6667, 0.2500], [0.0000, 0.0000, 0.5000], [0.0000, 0.0000, 0.0000], [0.6667, 0.3333, 0.7500]], "total_energy_ev_per_atom": -3.046, "magnetic_moment_mub_per_cell": 1.1, "de_polymorph_mev_per_atom": 29}

---

# 2
{"formula": "Pr2HoCd3Cu2Ag", "functional": "GGA-PBE", "state": "optimized geometry", "lattice": [[-1.7877, -0.0677, 3.5306], [-3.8371, -6.4810, -2.0672], [6.9570, -0.5103, 3.5128]], "species": ["Pr", "Pr", "Cd", "Ho", "Cd", "Ag", "Cu", "Cu", "Cd"], "fractional_positions": [[0.0000, 0.9996, 0.5886], [0.0000, 0.5886, 0.9996], [0.5000, 0.2648, 0.0056], [0.0000, 0.4118, 0.4118], [0.5000, 0.0056, 0.2648], [0.0000, 0.0030, 0.0030], [0.5000, 0.6588, 0.3358], [0.5000, 0.3358, 0.6588], [0.5000, 0.7320, 0.7320]], "ef_kj_per_mol_fu": -249, "total_energy_ev_per_atom": -3.295, "magnetic_moment_mub_per_cell": 0.0}

---

# 3
{"formula": "LaPr", "functional": "GGA-PBE", "state": "optimized geometry", "lattice": [[0.0000, 3.3255, 3.3255], [3.3255, 0.0000, 3.3255], [3.3255, 3.3255, 0.0000]], "species": ["La", "Pr"], "fractional_positions": [[0.0000, 0.0000, 0.0000], [0.2500, 0.2500, 0.2500]], "ef_kj_per_mol_fu": 231, "total_energy_ev_per_atom": -3.650, "magnetic_moment_mub_per_cell": 0.0, "de_polymorph_mev_per_atom": 1172}

---

# 4
{"formula": "PrDyAsO", "functional": "GGA-PBE", "state": "optimized geometry", "lattice": [[-1.7836, 3.7988, -0.1767], [-1.4479, -0.3107, 7.9369], [5.0512, 2.4188, 1.0161]], "species": ["Dy", "Dy", "As", "O", "As", "Pr", "O", "Pr"], "fractional_positions": [[0.0000, 0.7893, 0.9395], [0.0000, 0.2107, 0.4395], [0.0000, 0.1400, 0.9366], [0.5000, 0.6771, 0.9069], [0.0000, 0.8600, 0.4366], [0.5000, 0.6243, 0.4710], [0.5000, 0.3229, 0.4069], [0.5000, 0.3757, 0.9710]], "total_energy_ev_per_atom": -6.645, "magnetic_moment_mub_per_cell": 0.7, "de_polymorph_mev_per_atom": 64}

---

# 5
{"formula": "SiPbW4C2", "functional": "GGA-PBE", "state": "optimized geometry", "lattice": [[-1.4745, -2.1997, -1.8162], [2.5627, -0.8207, 1.7522], [-7.7620, -3.0072, 9.9438]], "species": ["W", "Pb", "W", "Si", "C", "C", "W", "W"], "fractional_positions": [[0.3333, 0.6667, 0.8624], [0.3333, 0.6667, 0.5000], [0.6667, 0.3333, 0.6917], [0.6667, 0.3333, 0.0000], [0.0000, 0.0000, 0.2318], [0.0000, 0.0000, 0.7682], [0.6667, 0.3333, 0.3083], [0.3333, 0.6667, 0.1376]], "total_energy_ev_per_atom": -9.651, "magnetic_moment_mub_per_cell": 0.0}

---

# 6
{"formula": "LuBePt2", "functional": "GGA-PBE", "state": "optimized geometry", "lattice": [[0.0000, 3.2086, 3.2086], [3.2086, 0.0000, 3.2086], [3.2086, 3.2086, 0.0000]], "species": ["Lu", "Pt", "Be", "Pt"], "fractional_positions": [[0.2500, 0.2500, 0.2500], [0.7500, 0.7500, 0.7500], [0.5000, 0.5000, 0.5000], [0.0000, 0.0000, 0.0000]], "total_energy_ev_per_atom": -5.606, "magnetic_moment_mub_per_cell": 0.0}

---

# 7
{"formula": "GaCoTcPd", "functional": "GGA-PBE", "state": "optimized geometry", "lattice": [[-1.6054, -3.9517, -0.0261], [-3.9851, -0.6920, 1.3542], [-3.0504, -1.0444, -2.7926]], "species": ["Tc", "Ga", "Co", "Pd"], "fractional_positions": [[0.2500, 0.2500, 0.2500], [0.0000, 0.0000, 0.0000], [0.7500, 0.7500, 0.7500], [0.5000, 0.5000, 0.5000]], "total_energy_ev_per_atom": -6.333, "magnetic_moment_mub_per_cell": 0.5}

---

# 8
{"formula": "GdBiN2O", "functional": "GGA-PBE", "state": "optimized geometry", "lattice": [[-3.7311, 4.4413, 0.8917], [-2.1654, -5.2197, -2.0233], [1.7651, -4.1411, 8.9550]], "species": ["N", "Gd", "N", "N", "Bi", "O", "N", "Bi", "O", "N", "O", "Gd", "Gd", "N", "N", "Bi", "N", "Bi", "Gd", "O"], "fractional_positions": [[0.0913, 0.8528, 0.6647], [0.2629, 0.6653, 0.8600], [0.4087, 0.9577, 0.0861], [0.2850, 0.7540, 0.3898], [0.9796, 0.5195, 0.5005], [0.8611, 0.0769, 0.4104], [0.6421, 0.2513, 0.5851], [0.4896, 0.7350, 0.2449], [0.8675, 0.5891, 0.9036], [0.1264, 0.3306, 0.1532], [0.8433, 0.8100, 0.1516], [0.7579, 0.3983, 0.1123], [0.6859, 0.8893, 0.6071], [0.3401, 0.3091, 0.9174], [0.3251, 0.5176, 0.6498], [0.0406, 0.0163, 0.0009], [0.6277, 0.4595, 0.3218], [0.4539, 0.2544, 0.7363], [0.2298, 0.1197, 0.3595], [0.6815, 0.9937, 0.8448]], "total_energy_ev_per_atom": -6.638, "magnetic_moment_mub_per_cell": 0.0}